7
Lattice="2.8314 -12.6027 0.0000 2.8314 12.6027 0.0000 0.0000 0.0000 3.7462" Properties=species:S:1:pos:R:3 comment="Ac3Nd2Dy2, optimized geometry, DFT PBE" spacegroup="Cmmm, No. 65" pbc="T T T"
Ac 0.0000 0.0000 0.0000
Ac 2.8314 8.7208 0.0000
Ac 2.8314 -8.7208 0.0000
Nd 2.8314 1.8530 1.8731
Nd 2.8314 -1.8530 1.8731
Dy 2.8314 5.4182 1.8731
Dy 2.8314 -5.4182 1.8731



5
Lattice="4.7881 0.0000 0.0000 0.0000 4.7881 0.0000 0.0000 0.0000 3.7655" Properties=species:S:1:pos:R:3 comment="ZnBS2N, optimized geometry, DFT PBE" spacegroup="P4/mmm, No. 123" raw_formation_energy_ev_per_atom=1.85 e_above_lowest_polymorph_mev_per_atom=1536 pbc="T T T"
Zn 0.0000 0.0000 0.0000
B 2.3941 2.3941 1.8827
S 0.0000 2.3941 0.0000
S 2.3941 0.0000 0.0000
N 0.0000 0.0000 1.8827



5
Lattice="4.7263 0.0000 0.0000 0.0000 4.7263 0.0000 0.0000 0.0000 4.7263" Properties=species:S:1:pos:R:3 comment="Hf3MgBe, optimized geometry, DFT PBE" spacegroup="Pm-3m, No. 221" e_above_lowest_polymorph_mev_per_atom=0 pbc="T T T"
Hf 0.0000 0.0000 2.3631
Hf 0.0000 2.3631 0.0000
Hf 2.3631 0.0000 0.0000
Mg 2.3631 2.3631 2.3631
Be 0.0000 0.0000 0.0000



5
Lattice="4.7379 0.0000 0.0000 0.0000 4.7379 0.0000 0.0000 0.0000 4.6570" Properties=species:S:1:pos:R:3 comment="NaTiBePd2, optimized geometry, DFT PBE" spacegroup="P4/mmm, No. 123" pbc="T T T"
Na 0.0000 0.0000 0.0000
Ti 2.3689 2.3689 2.3285
Be 2.3689 2.3689 0.0000
Pd 0.0000 2.3689 2.3285
Pd 2.3689 0.0000 2.3285



Number 1: final energy -0.322 Ry/atom, volume 38.2 A^3/atom. Number 2: final energy -0.225 Ry/atom, volume 17.3 A^3/atom. Number 3: final energy -0.494 Ry/atom, volume 21.1 A^3/atom. Number 4: final energy -0.299 Ry/atom, volume 20.9 A^3/atom.